The following is a PBE calculation of a geometry-optimized Zr2TiHRu structure, from the Alexandria database.

Geometry as extended XYZ:
```
5
Lattice="-1.390 4.385 0.615 -4.418 -1.331 -0.492 -0.221 -0.560 3.496" Properties=species:S:1:pos:R:3 pbc="T T T"
Ru -3.014 1.247 1.809
H 0.000 0.000 0.000
Zr -2.209 -0.666 -0.246
Zr -0.695 2.192 0.308
Ti -0.110 -0.280 1.748
```

Properties
Uncorrected energy = -0.28663 hartree per atom
Spin magnetization = 0.098 μB/atom

The following is a PBE calculation of a geometry-optimized Pm4DyTm4 structure, from the Alexandria database.

Geometry as extended XYZ:
```
9
Lattice="5.030 0.000 0.000 2.515 7.574 0.000 2.515 0.000 7.574" Properties=species:S:1:pos:R:3 pbc="T T T"
Pm 5.030 2.504 2.502
Pm 5.030 5.070 5.072
Pm 7.545 5.072 2.504
Pm 2.515 2.502 5.070
Dy 0.000 0.000 0.000
Tm 7.545 5.061 7.574
Tm 2.515 2.513 0.000
Tm 5.030 0.000 5.061
Tm 5.030 7.574 2.513
```

Properties
ΔE to the lowest computed polymorph = 0.000 eV per atom
Uncorrected energy = -0.16857 hartree per atom
Spin magnetization = 0.000 μB/atom

The following is a PBE calculation of a geometry-optimized Zr5AlCu structure, from the Alexandria database.

Geometry as extended XYZ:
```
7
Lattice="-2.928 1.487 2.855 -3.207 -1.006 -2.764 -0.527 -7.351 3.287" Properties=species:S:1:pos:R:3 pbc="T T T"
Zr -3.067 0.240 0.045
Zr -1.744 -2.472 -0.502
Zr -1.605 -1.225 2.308
Zr -1.989 -5.886 1.025
Zr -1.850 -4.639 3.835
Al -0.263 -3.676 1.644
Cu 0.000 0.000 0.000
```

Properties
ΔE to the lowest computed polymorph = 0.165 eV per atom
Uncorrected energy = -0.26225 hartree per atom
Spin magnetization = 0.000 μB/atom

The following is a PBE calculation of a geometry-optimized CdFe3Pt12 structure, from the Alexandria database.

Geometry as extended XYZ:
```
16
Lattice="-3.014 -1.442 2.112 -1.720 -1.272 -3.323 7.540 -13.759 1.365" Properties=species:S:1:pos:R:3 pbc="T T T"
Cd 0.000 0.000 0.000
Fe 1.893 -3.455 0.343
Fe 0.756 -8.322 2.794
Fe 0.913 -13.018 -0.189
Pt -2.367 -1.357 -0.606
Pt -0.441 -4.871 -0.257
Pt 1.403 -8.237 0.077
Pt 3.248 -11.602 0.411
Pt -2.215 -3.839 -2.084
Pt 1.340 -5.915 1.571
Pt 3.187 -9.286 1.906
Pt 5.022 -12.634 2.238
Pt -2.862 -3.924 0.633
Pt 1.987 -5.831 -1.146
Pt 3.834 -9.201 -0.812
Pt 5.669 -12.550 -0.480
```

Properties
Uncorrected energy = -0.23491 hartree per atom
Spin magnetization = 0.879 μB/atom

The following is a PBE calculation of a geometry-optimized KSnTeI2 structure, from the Alexandria database.

Geometry as extended XYZ:
```
5
Lattice="6.159 0.000 0.000 0.000 6.159 0.000 0.000 0.000 6.276" Properties=species:S:1:pos:R:3 pbc="T T T"
I 0.000 3.079 0.000
I 3.079 0.000 0.000
K 0.000 0.000 0.000
Te 0.000 0.000 3.138
Sn 3.079 3.079 3.138
```

Properties
ΔE to the lowest computed polymorph = 0.769 eV per atom
Uncorrected energy = -0.07579 hartree per atom
E_form (uncorrected) = 0.21 eV/atom
Spin magnetization = 0.207 μB/atom

The following is a PBE calculation of a geometry-optimized In3AsO structure, from the Alexandria database.

Geometry as extended XYZ:
```
5
Lattice="5.416 0.000 0.000 0.000 5.416 0.000 0.000 0.000 5.416" Properties=species:S:1:pos:R:3 pbc="T T T"
As 0.000 0.000 0.000
O 2.708 2.708 2.708
In 0.000 2.708 0.000
In 0.000 0.000 2.708
In 2.708 0.000 0.000
```

Properties
ΔE to the lowest computed polymorph = 0.748 eV per atom
Uncorrected energy = -0.10919 hartree per atom
E_form (uncorrected) = 0.59 eV/atom
Spin magnetization = 0.000 μB/atom

The following is a PBE calculation of a geometry-optimized Hf2ZrMoRu structure, from the Alexandria database.

Geometry as extended XYZ:
```
5
Lattice="-3.811 -3.037 0.647 3.094 -3.727 0.730 0.039 0.976 4.817" Properties=species:S:1:pos:R:3 pbc="T T T"
Ru -0.339 -2.893 3.097
Mo 0.000 0.000 0.000
Hf 0.020 0.488 2.409
Hf -1.905 -1.518 0.323
Zr 1.547 -1.863 0.365
```

Properties
Uncorrected energy = -0.31713 hartree per atom
Spin magnetization = 0.000 μB/atom

The following is a PBE calculation of a geometry-optimized ZnSe2NF structure, from the Alexandria database.

Geometry as extended XYZ:
```
5
Lattice="5.040 0.000 0.000 0.000 5.040 0.000 0.000 0.000 3.703" Properties=species:S:1:pos:R:3 pbc="T T T"
Zn 0.000 0.000 0.000
N 0.000 0.000 1.852
Se 0.000 2.520 0.000
Se 2.520 0.000 0.000
F 2.520 2.520 1.852
```

Properties
ΔE to the lowest computed polymorph = 0.000 eV per atom
Uncorrected energy = -0.10176 hartree per atom
E_form (uncorrected) = 0.92 eV/atom
Spin magnetization = 0.134 μB/atom

The following is a PBE calculation of a geometry-optimized BAsRhBr2 structure, from the Alexandria database.

Geometry as extended XYZ:
```
5
Lattice="4.568 0.000 0.000 0.000 4.568 0.000 0.000 0.000 4.431" Properties=species:S:1:pos:R:3 pbc="T T T"
As 0.000 0.000 2.216
B 0.000 0.000 0.000
Rh 2.284 2.284 2.216
Br 0.000 2.284 0.000
Br 2.284 0.000 0.000
```

Properties
ΔE to the lowest computed polymorph = 0.032 eV per atom
Uncorrected energy = -0.12205 hartree per atom
E_form (uncorrected) = 1.08 eV/atom
Spin magnetization = 0.124 μB/atom

The following is a PBE calculation of a geometry-optimized FeIrW2 structure, from the Alexandria database.

Geometry as extended XYZ:
```
4
Lattice="-0.793 -3.241 -2.839 0.637 -4.165 1.198 -3.432 -2.654 0.608" Properties=species:S:1:pos:R:3 pbc="T T T"
Fe -1.794 -5.030 -0.517
Ir -2.691 -7.545 -0.775
W 0.000 0.000 0.000
W -0.897 -2.515 -0.258
```

Properties
ΔE to the lowest computed polymorph = 0.198 eV per atom
Uncorrected energy = -0.39192 hartree per atom
Spin magnetization = 0.731 μB/atom

The following is a PBE calculation of a geometry-optimized Al4V2Ni structure, from the Alexandria database.

Geometry as extended XYZ:
```
7
Lattice="-4.322 -1.244 0.381 0.816 -1.561 4.155 -3.144 4.151 4.628" Properties=species:S:1:pos:R:3 pbc="T T T"
Ni 0.000 0.000 0.000
Al -2.615 2.039 3.731
Al -4.035 -0.694 5.434
Al 0.408 -0.781 2.078
Al -2.161 -0.622 0.190
V -2.021 -0.332 2.723
V -4.629 1.678 6.441
```

Properties
Uncorrected energy = -0.19060 hartree per atom
Spin magnetization = 0.000 μB/atom

The following is a PBE calculation of a geometry-optimized LaPm3NdY structure, from the Alexandria database.

Geometry as extended XYZ:
```
12
Lattice="5.194 0.000 0.000 0.000 8.130 -0.787 0.000 -3.934 10.237" Properties=species:S:1:pos:R:3 pbc="T T T"
La 3.895 4.320 6.574
La 1.298 -0.124 2.877
Pm 1.298 3.278 4.184
Pm 3.895 6.929 -0.270
Pm 3.895 2.241 1.828
Pm 3.895 0.917 5.267
Pm 1.298 1.954 7.623
Pm 1.298 -2.734 9.721
Nd 1.298 -1.436 6.317
Nd 3.895 5.632 3.134
Y 1.298 4.561 0.774
Y 3.895 -0.366 8.677
```

Properties
Uncorrected energy = -0.18562 hartree per atom
Spin magnetization = 0.000 μB/atom

The following is a PBE calculation of a geometry-optimized BeCuC3 structure, from the Alexandria database.

Geometry as extended XYZ:
```
5
Lattice="-2.129 2.944 -1.120 -1.469 0.268 3.497 2.787 2.391 0.987" Properties=species:S:1:pos:R:3 pbc="T T T"
Be -0.406 2.802 1.682
C -0.734 0.134 1.749
C 1.394 1.196 0.494
C -1.065 1.472 -0.560
Cu 0.000 0.000 0.000
```

Properties
ΔE to the lowest computed polymorph = 0.533 eV per atom
Uncorrected energy = -0.15342 hartree per atom
Spin magnetization = 0.000 μB/atom

The following is a PBE calculation of a geometry-optimized RhAuBr2 structure, from the Alexandria database.

Geometry as extended XYZ:
```
4
Lattice="3.573 0.000 0.000 0.000 6.871 -0.070 0.000 4.838 4.863" Properties=species:S:1:pos:R:3 pbc="T T T"
Rh 1.786 2.927 1.198
Au 1.786 8.782 3.595
Br 0.000 1.370 0.559
Br 0.000 4.484 1.837
```

Properties
ΔE to the lowest computed polymorph = 0.048 eV per atom
Uncorrected energy = -0.12570 hartree per atom
E_form (uncorrected) = 0.07 eV/atom
Spin magnetization = 0.000 μB/atom

The following is a PBE calculation of a geometry-optimized PmEr4Cu4 structure, from the Alexandria database.

Geometry as extended XYZ:
```
18
Lattice="-0.839 -0.013 -5.566 -7.061 -5.312 1.078 -5.256 7.143 0.775" Properties=species:S:1:pos:R:3 pbc="T T T"
Pm 0.000 0.000 0.000
Pm -6.578 0.908 -1.857
Er -7.429 4.736 -1.172
Er -9.290 2.761 -3.734
Er -5.561 -2.916 -1.436
Er -4.405 3.315 0.091
Er -10.444 -0.036 -1.837
Er -8.078 -1.488 0.656
Er -4.539 -0.955 -4.441
Er -2.878 1.850 -2.982
Cu -7.900 -1.602 -2.294
Cu -5.446 3.415 -2.677
Cu -9.930 0.587 0.853
Cu -7.228 4.622 -3.971
Cu -6.578 -2.816 -4.051
Cu -4.002 -0.332 -1.599
Cu -8.964 2.152 -0.857
Cu -2.576 1.241 -0.258
```

Properties
Uncorrected energy = -0.16225 hartree per atom
Spin magnetization = 0.001 μB/atom

The following is a PBE calculation of a geometry-optimized PbSeS2Cl structure, from the Alexandria database.

Geometry as extended XYZ:
```
5
Lattice="-4.451 -0.794 2.157 0.422 -4.903 -0.932 2.198 -0.629 4.303" Properties=species:S:1:pos:R:3 pbc="T T T"
Pb -0.915 -3.163 2.764
S 0.211 -2.452 -0.466
S -2.225 -0.397 1.079
Se 0.000 0.000 0.000
Cl 1.099 -0.314 2.152
```

Properties
ΔE to the lowest computed polymorph = 0.000 eV per atom
Uncorrected energy = -0.12646 hartree per atom
E_form (uncorrected) = 0.02 eV/atom
Spin magnetization = 0.000 μB/atom

The following is a PBE calculation of a geometry-optimized TbPr2Th3Sb6 structure, from the Alexandria database.

Geometry as extended XYZ:
```
12
Lattice="4.509 0.000 0.000 0.000 8.993 0.322 -2.255 -2.585 9.477" Properties=species:S:1:pos:R:3 pbc="T T T"
Tb 2.255 0.000 0.000
Pr 2.255 4.273 6.540
Pr 0.000 2.136 3.260
Th 2.255 4.496 0.161
Th 2.255 -0.220 6.344
Th 0.000 6.629 3.455
Sb 0.000 6.540 6.661
Sb 2.255 4.402 3.333
Sb 2.255 -0.132 3.139
Sb 2.255 -0.377 9.528
Sb 0.000 6.785 0.271
Sb 0.000 2.006 6.467
```

Properties
Uncorrected energy = -0.22602 hartree per atom
E_form (uncorrected) = -1.05 eV/atom
Spin magnetization = 0.000 μB/atom

The following is a PBE calculation of a geometry-optimized BaCaInAs2 structure, from the Alexandria database.

Geometry as extended XYZ:
```
10
Lattice="-1.498 -0.666 6.117 6.863 -3.379 1.312 -0.216 6.758 0.683" Properties=species:S:1:pos:R:3 pbc="T T T"
Ba 2.933 3.230 2.543
Ba 2.216 -0.517 5.569
Ca -0.804 1.356 3.234
Ca -0.910 4.736 3.566
In 0.000 0.000 0.000
In -0.108 3.379 0.342
As 3.533 2.876 5.939
As 0.830 2.915 5.282
As 4.319 -0.202 2.831
As 1.616 -0.163 2.173
```

Properties
ΔE to the lowest computed polymorph = 0.000 eV per atom
Uncorrected energy = -0.14334 hartree per atom
Spin magnetization = 0.000 μB/atom

The following is a PBE calculation of a geometry-optimized K2Na4CdPb2 structure, from the Alexandria database.

Geometry as extended XYZ:
```
9
Lattice="5.867 0.073 0.050 1.386 8.082 0.736 1.386 3.652 7.248" Properties=species:S:1:pos:R:3 pbc="T T T"
K 3.555 7.472 5.083
K 5.085 4.335 2.949
Na 2.129 5.608 1.031
Na 6.511 8.789 3.195
Na 6.511 6.200 7.002
Na 2.129 3.018 4.837
Cd 2.934 0.036 0.025
Pb 2.084 2.294 1.561
Pb 6.556 9.513 6.472
```

Properties
Uncorrected energy = -0.06778 hartree per atom
Spin magnetization = 0.011 μB/atom

The following is a PBE calculation of a geometry-optimized KSr2As structure, from the Alexandria database.

Geometry as extended XYZ:
```
4
Lattice="-4.342 5.023 0.968 -2.408 0.743 6.218 6.047 -0.723 -2.816" Properties=species:S:1:pos:R:3 pbc="T T T"
As -3.375 2.883 3.593
K -0.835 3.591 0.872
Sr 0.000 0.000 0.000
Sr 0.132 1.451 3.497
```

Properties
Uncorrected energy = -0.09054 hartree per atom
Spin magnetization = 0.034 μB/atom

The following is a PBE calculation of a geometry-optimized La5Sm12Ho2 structure, from the Alexandria database.

Geometry as extended XYZ:
```
19
Lattice="-5.833 -3.137 -6.530 -2.657 -1.572 9.753 -6.299 5.499 2.985" Properties=species:S:1:pos:R:3 pbc="T T T"
La -7.042 2.373 5.151
La -4.618 -0.575 4.402
La -3.150 2.750 1.492
La -10.170 1.365 1.806
La -7.747 -1.584 1.057
Sm -9.146 -3.399 3.180
Sm -7.827 3.775 9.376
Sm -11.524 1.787 5.238
Sm -5.790 0.823 7.656
Sm -8.325 -0.541 4.818
Sm -9.415 1.263 7.804
Sm -5.374 -0.473 -1.596
Sm -8.999 -0.033 -1.448
Sm -6.464 1.331 1.389
Sm -6.962 -2.985 -3.168
Sm -3.265 -0.997 0.970
Sm -5.643 4.189 3.028
Ho -3.926 -2.112 -4.395
Ho -1.907 -1.026 -2.135
```

Properties
ΔE to the lowest computed polymorph = 0.066 eV per atom
Uncorrected energy = -0.16792 hartree per atom
Spin magnetization = 0.000 μB/atom

The following is a PBE calculation of a geometry-optimized Ho8Zn2Ru structure, from the Alexandria database.

Geometry as extended XYZ:
```
11
Lattice="-2.113 2.200 4.149 -0.204 -5.998 3.076 8.603 2.645 -0.216" Properties=species:S:1:pos:R:3 pbc="T T T"
Ho 6.056 -0.331 3.260
Ho 1.158 -3.495 5.639
Ho 3.369 -0.795 5.333
Ho 6.052 3.382 4.485
Ho 2.917 -0.357 1.675
Ho 5.128 2.343 1.370
Ho 0.230 -0.821 3.748
Ho 0.234 -4.534 2.523
Zn 3.657 1.753 4.129
Zn 2.629 -2.906 2.880
Ru -1.057 1.100 2.074
```

Properties
ΔE to the lowest computed polymorph = 0.000 eV per atom
Uncorrected energy = -0.16958 hartree per atom
Spin magnetization = 0.000 μB/atom

The following is a PBE calculation of a geometry-optimized CeDy2Os structure, from the Alexandria database.

Geometry as extended XYZ:
```
16
Lattice="6.380 0.000 0.000 0.000 7.219 0.000 0.000 0.000 9.414" Properties=species:S:1:pos:R:3 pbc="T T T"
Ce 4.129 3.974 2.354
Ce 5.442 0.364 2.354
Ce 2.252 3.245 7.061
Ce 0.939 6.854 7.061
Dy 1.082 4.850 0.611
Dy 2.108 1.241 4.096
Dy 5.299 2.369 5.318
Dy 4.272 5.978 8.804
Dy 5.299 2.369 8.804
Dy 4.272 5.978 5.318
Dy 1.082 4.850 4.096
Dy 2.108 1.241 0.611
Os 0.155 2.669 2.354
Os 3.036 6.279 2.354
Os 6.226 4.549 7.061
Os 3.345 0.940 7.061
```

Properties
ΔE to the lowest computed polymorph = 0.000 eV per atom
Uncorrected energy = -0.25080 hartree per atom
Spin magnetization = 0.116 μB/atom

The following is a PBE calculation of a geometry-optimized Pm2PrTl4 structure, from the Alexandria database.

Geometry as extended XYZ:
```
7
Lattice="6.305 0.080 -2.170 -3.120 5.415 -2.328 0.046 -0.080 6.668" Properties=species:S:1:pos:R:3 pbc="T T T"
Pm 1.593 2.747 -2.249
Pm 3.175 0.000 2.249
Pr 0.000 0.000 0.000
Tl 3.153 0.040 -1.085
Tl 1.616 2.707 1.085
Tl 0.023 -0.040 3.334
Tl -1.560 2.707 -1.164
```

Properties
ΔE to the lowest computed polymorph = 0.000 eV per atom
Uncorrected energy = -0.13335 hartree per atom
Spin magnetization = 0.128 μB/atom